(1)
A plane-wave DFT calculation with meta-GGA SCAN was carried out for TaSiAg2 at its PBEsol-relaxed geometry.

Calculated values
**E**: -34.64 eV per atom
**Calculated density**: 11023 kg/m³
**Density of states at the Fermi level**: 1.6 states/eV/cell
**Uncorrected formation energy**: 0.1940 eV per atom

Cell: 3.777 3.777 4.486 Å, 90.00 90.00 90.00°
Element x y z (fractional)
Si1 0.500 0.500 0.500
Ta1 0.000 0.000 0.500
Ag1 0.500 0.000 0.000
Ag2 0.000 0.500 0.000

***

(2)
A plane-wave DFT calculation with meta-GGA SCAN was carried out for TaSiAg at its PBEsol-relaxed geometry.

Calculated values
**E**: -35.80 eV per atom
**Calculated density**: 11004 kg/m³
**Density of states at the Fermi level**: 0.8 states/eV/cell
**Uncorrected formation energy**: 0.1925 eV per atom

Cell: 2.778 2.778 6.501 Å, 102.33 102.33 90.00°
Element x y z (fractional)
Ta1 0.325 0.325 0.650
Ag1 0.004 0.004 0.008
Si1 0.671 0.671 0.342

***

(3)
A plane-wave DFT calculation with meta-GGA SCAN was carried out for TaSiAg2 at its PBEsol-relaxed geometry.

Calculated values
**E**: -34.49 eV per atom
**Calculated density**: 10846 kg/m³
**Density of states at the Fermi level**: 2.4 states/eV/cell
**Uncorrected formation energy**: 0.3408 eV per atom

Cell: 2.842 2.842 9.440 Å, 81.34 81.34 60.00°
Element x y z (fractional)
Ag1 0.245 0.245 0.264
Ag2 0.755 0.755 0.736
Ta1 0.000 0.000 0.000
Si1 0.500 0.500 0.500

***

(4)
A plane-wave DFT calculation with meta-GGA SCAN was carried out for TaSi2Ag at its PBEsol-relaxed geometry.

Calculated values
**E**: -29.32 eV per atom
**Calculated density**: 9485 kg/m³
**Density of states at the Fermi level**: 1.7 states/eV/cell
**Uncorrected formation energy**: 0.1784 eV per atom

Cell: 3.394 4.217 4.220 Å, 90.00 90.00 90.00°
Element x y z (fractional)
Si1 0.000 0.000 0.000
Ta1 0.500 0.500 0.000
Ag1 0.500 0.000 0.500
Si2 0.000 0.500 0.500

***

(5)
A plane-wave DFT calculation with meta-GGA SCAN was carried out for TaSiAg at its PBEsol-relaxed geometry.

Calculated values
**E**: -35.85 eV per atom
**Calculated density**: 10949 kg/m³
**Density of states at the Fermi level**: 0.4 states/eV/cell
**Uncorrected formation energy**: 0.1373 eV per atom

Cell: 2.803 2.803 6.529 Å, 99.44 99.44 103.64°
Element x y z (fractional)
Si1 0.670 0.670 0.341
Ta1 0.324 0.324 0.648
Ag1 0.005 0.005 0.011

***

(6)
A plane-wave DFT calculation with meta-GGA SCAN was carried out for TaSiAg at its PBEsol-relaxed geometry.

Calculated values
**E**: -35.61 eV per atom
**Calculated density**: 10028 kg/m³
**Density of states at the Fermi level**: 1.9 states/eV/cell
**Uncorrected formation energy**: 0.3828 eV per atom

Cell: 4.202 4.202 4.202 Å, 60.00 60.00 60.00°
Element x y z (fractional)
Ag1 0.500 0.500 0.500
Si1 0.250 0.250 0.250
Ta1 0.000 0.000 0.000

***

(7)
A plane-wave DFT calculation with meta-GGA SCAN was carried out for TbSi2Ag2 at its PBEsol-relaxed geometry.

Calculated values
**E**: -26.33 eV per atom
**Calculated density**: 8024 kg/m³
**Density of states at the Fermi level**: 1.0 states/eV/cell
**Uncorrected formation energy**: -0.4266 eV per atom

Cell: 4.100 4.100 6.044 Å, 109.83 109.83 90.00°
Element x y z (fractional)
Ag1 0.250 0.750 0.500
Ag2 0.750 0.250 0.500
Si1 0.608 0.608 0.215
Tb1 0.000 0.000 0.000
Si2 0.392 0.392 0.785

***

(8)
A plane-wave DFT calculation with meta-GGA SCAN was carried out for SiTcAg at its PBEsol-relaxed geometry.

Calculated values
**E**: -25.25 eV per atom
**Calculated density**: 9003 kg/m³
**Density of states at the Fermi level**: 1.6 states/eV/cell
**Uncorrected formation energy**: 0.2357 eV per atom
**Relative energy among the computed polymorphs**: 35 meV per atom

Cell: 2.760 4.249 4.249 Å, 120.00 90.00 90.00°
Element x y z (fractional)
Tc1 0.425 0.667 0.333
Ag1 0.921 0.000 0.000
Si1 0.654 0.333 0.667